An optimized crystal structure of Na3Li5Cl8. Source: Alexandria, functional GGA-PBE.

a = 7.5705 Å, b = 7.5705 Å, c = 18.6855 Å
α = 90.00°, β = 90.00°, γ = 120.00°
Space group R-3m (No. 166, hexagonal axes)
Asymmetric unit:
1 Na 0.0000 0.5000 0.0000
2 Li 0.0000 0.0000 0.0000
3 Li 0.0000 0.0000 0.5000
4 Li 0.0000 0.5000 0.5000
5 Cl 0.0000 0.0000 0.2426
6 Cl 0.0094 0.5047 0.7548

## Properties
Its uncorrected formation energy is -1.788 eV/atom. The value obtained for the density of states at the Fermi level is 0.00 states/eV per cell. The uncorrected energy is -170.70 eV for the cell shown.